[1]
## LaFeMo2 (PBE-GGA)

Data for a geometry-optimized LaFeMo2 structure.

a b c (Å): 5.190 5.503 2.921
angles (deg): 80.01 78.75 114.82
Site moments in Bohr magnetons follow the coordinates.
Atoms (fractional coordinates):
Mo 0.500 0.000 0.500  -0.09
La 0.500 0.500 0.000  -0.13
Mo 0.000 0.000 0.000  -0.09
Fe 0.000 0.500 0.500  2.23

Properties
The total magnetization is 0.457 μB/atom. The total energy is -8.100 eV/atom. The calculation puts the formation enthalpy at 0 K at 0.663 eV/atom. Its space group is C2/m. The value obtained for the excess energy over the best structure of this formula in the dataset is 0.2137 eV/atom.

[2]
## YbGeAu (PBE-GGA)

Data for a geometry-optimized YbGeAu structure.

a b c (Å): 5.788 5.788 7.258
angles (deg): 51.43 51.43 45.61
Site moments in Bohr magnetons follow the coordinates.
Atoms (fractional coordinates):
Ge 0.845 0.845 0.099  0.00
Yb 0.544 0.544 0.696  0.21
Au 0.824 0.824 0.720  0.00
Au 0.176 0.176 0.280  0.00
Yb 0.456 0.456 0.304  0.21
Ge 0.155 0.155 0.901  0.00

Properties
The total magnetization is 0.070 μB/atom. The total energy is -3.865 eV/atom. The calculation puts the formation enthalpy at 0 K at -0.725 eV/atom. Its space group is C2/m.

[3]
## Tl3CO4 (PBE-GGA)

Data for a geometry-optimized Tl3CO4 structure.

a b c (Å): 4.316 7.589 8.237
angles (deg): 37.98 74.81 73.48
Atoms (fractional coordinates):
O 0.347 0.745 0.154
C 0.469 0.000 0.000
Tl 0.956 0.180 0.181
O 0.570 0.971 0.172
O 0.712 0.029 0.828
Tl 0.317 0.820 0.819
Tl 0.884 0.500 0.500
O 0.246 0.256 0.846

Properties
The total magnetization is 0.000 μB/atom. The total energy is -5.243 eV/atom. Its space group is C2.

[4]
## PuPaIr (PBE-GGA)

Data for a geometry-optimized PuPaIr structure.

a b c (Å): 3.126 4.761 4.761
angles (deg): 120.00 90.00 90.00
Site moments in Bohr magnetons follow the coordinates.
Atoms (fractional coordinates):
Pa 0.986 0.000 0.000  0.35
Ir 0.318 0.333 0.667  -0.03
Pu 0.696 0.667 0.333  4.95

Properties
The total magnetization is 1.776 μB/atom. The total energy is -11.272 eV/atom. The calculation puts the formation enthalpy at 0 K at -0.376 eV/atom. Its space group is P3m1. The value obtained for the excess energy over the best structure of this formula in the dataset is 0.0957 eV/atom.

[5]
## Tm2TlP (PBE-GGA)

Data for a geometry-optimized Tm2TlP structure.

a b c (Å): 3.856 3.840 8.203
angles (deg): 103.75 90.00 120.14
Atoms (fractional coordinates):
Tl 0.500 0.500 0.000
P 0.000 0.500 0.500
Tm 0.266 0.031 0.300
Tm 0.734 0.969 0.700

Properties
The total magnetization is 0.000 μB/atom. The total energy is -5.131 eV/atom. The calculation puts the formation enthalpy at 0 K at -0.951 eV/atom. Its space group is C2/m. The value obtained for the excess energy over the best structure of this formula in the dataset is 0.0000 eV/atom.

[6]
## ZrMnHg2 (PBE-GGA)

Data for a geometry-optimized ZrMnHg2 structure.

a b c (Å): 5.306 5.306 5.306
angles (deg): 132.21 132.21 69.90
Site moments in Bohr magnetons follow the coordinates.
Atoms (fractional coordinates):
Hg 0.000 0.000 0.000  -0.04
Zr 0.750 0.250 0.500  -0.55
Hg 0.250 0.750 0.500  -0.04
Mn 0.500 0.500 0.000  3.53

Properties
The total magnetization is 0.697 μB/atom. The total energy is -4.413 eV/atom. The calculation puts the formation enthalpy at 0 K at 0.167 eV/atom. Its space group is I-4m2.

no.,D(E_F) (states/eV/f.u.)
1,5.2
2,13.8
3,1.5
4,4.6
5,1.7
6,4.7